# 1
First-principles (PBE-GGA) data for NaSr2CaF after structural relaxation, as listed in Alexandria.

Cell lengths 6.4373, 6.4373, 4.5032 Å; angles 90.00, 90.00, 90.00 degrees
With the nearest neighbours (Å) after each atom.
Fractional coordinates of all 5 atoms:
Na (0.0000, 0.0000, 0.0000)  8 Sr 3.93
Sr (0.0000, 0.5000, 0.5000)  2 F 3.22
Sr (0.5000, 0.0000, 0.5000)  2 F 3.22
Ca (0.5000, 0.5000, 0.0000)  2 F 2.25
F (0.5000, 0.5000, 0.5000)  2 Ca 2.25

Results
DFT total energy = -2.73 eV per atom
offset from the most stable computed form = 0 meV per atom
raw formation energy = -1015 meV/atom

---

# 2
First-principles (PBE-GGA) data for CsRbHg2Pd after structural relaxation, as listed in Alexandria.

Cell lengths 5.5868, 5.5868, 6.0219 Å; angles 90.00, 90.00, 90.00 degrees
With the nearest neighbours (Å) after each atom.
Fractional coordinates of all 5 atoms:
Cs (0.0000, 0.0000, 0.0000)  4 Rb 3.95, 8 Hg 4.11
Rb (0.5000, 0.5000, 0.0000)  2 Pd 3.01
Hg (0.0000, 0.5000, 0.5000)  2 Pd 2.79
Hg (0.5000, 0.0000, 0.5000)  2 Pd 2.79
Pd (0.5000, 0.5000, 0.5000)  4 Hg 2.79, 2 Rb 3.01

Results
DFT total energy = -1.67 eV per atom
formation energy = -0.14 eV per atom
offset from the most stable computed form = 0 meV per atom

---

# 3
First-principles (PBE-GGA) data for K2CoMoBr after structural relaxation, as listed in Alexandria.

Cell lengths 6.3058, 6.3058, 4.4131 Å; angles 90.00, 90.00, 90.00 degrees
With the nearest neighbours (Å) after each atom.
Fractional coordinates of all 5 atoms:
K (0.0000, 0.5000, 0.0000)  2 Co 3.15
K (0.5000, 0.0000, 0.0000)  2 Co 3.15
Co (0.0000, 0.0000, 0.0000)  2 Mo 2.21
Mo (0.0000, 0.0000, 0.5000)  2 Co 2.21
Br (0.5000, 0.5000, 0.5000)  8 K 3.85

Results
DFT total energy = -3.78 eV per atom
raw formation energy = 580 meV/atom

---

# 4
First-principles (PBE-GGA) data for CePm3Pb4 after structural relaxation, as listed in Alexandria.

Cell lengths 9.7878, 9.7878, 5.1173 Å; angles 105.08, 105.08, 30.31 degrees
With the nearest neighbours (Å) after each atom.
Fractional coordinates of all 8 atoms:
Ce (0.0000, 0.0000, 0.0000)  8 Pb 3.42-3.43, 4 Pm 3.62
Pm (0.2505, 0.2505, 0.2505)  8 Pb 3.41-3.43, 4 Pm 3.62
Pm (0.5000, 0.5000, 0.5000)  8 Pb 3.42-3.43, 4 Ce 3.62
Pm (0.7495, 0.7495, 0.7495)  8 Pb 3.41-3.43, 4 Pm 3.62
Pb (0.1251, 0.1251, 0.6250)  6 Pm 3.42-3.43, 2 Ce 3.42-3.43, 4 Pb 3.62
Pb (0.3749, 0.3749, 0.8751)  6 Pm 3.41-3.43, 2 Ce 3.42, 4 Pb 3.62
Pb (0.6251, 0.6251, 0.1249)  6 Pm 3.41-3.43, 2 Ce 3.42, 4 Pb 3.62
Pb (0.8749, 0.8749, 0.3750)  6 Pm 3.42-3.43, 2 Ce 3.42-3.43, 4 Pb 3.62

Results
DFT total energy = -4.85 eV per atom
formation energy = -0.48 eV per atom
offset from the most stable computed form = 0 meV per atom

---

# 5
First-principles (PBE-GGA) data for BaLaSb4 after structural relaxation, as listed in Alexandria.

Cell lengths 6.4637, 6.4637, 6.4637 Å; angles 60.00, 60.00, 60.00 degrees
With the nearest neighbours (Å) after each atom.
Fractional coordinates of all 6 atoms:
Ba (0.0000, 0.0000, 0.0000)  12 Sb 3.79, 4 La 3.96
La (0.7500, 0.7500, 0.7500)  12 Sb 3.79, 4 Ba 3.96
Sb (0.3757, 0.3757, 0.3757)  6 Sb 3.21-3.25
Sb (0.3757, 0.3757, 0.8729)  6 Sb 3.21-3.25
Sb (0.3757, 0.8729, 0.3757)  6 Sb 3.21-3.25
Sb (0.8729, 0.3757, 0.3757)  6 Sb 3.21-3.25

Results
DFT total energy = -4.35 eV per atom
raw formation energy = -459 meV/atom

---

# 6
First-principles (PBE-GGA) data for Mn2BeHIr after structural relaxation, as listed in Alexandria.

Cell lengths 3.6241, 3.6241, 3.8372 Å; angles 90.00, 90.00, 90.00 degrees
With the nearest neighbours (Å) after each atom.
Fractional coordinates of all 5 atoms:
Mn (0.0000, 0.5000, 0.0000)  2 H 1.81
Mn (0.5000, 0.0000, 0.0000)  2 H 1.81
Be (0.0000, 0.0000, 0.5000)  4 Ir 2.56, 8 Mn 2.64
H (0.5000, 0.5000, 0.0000)  4 Mn 1.81, 2 Ir 1.92
Ir (0.5000, 0.5000, 0.5000)  2 H 1.92

Results
DFT total energy = -6.90 eV per atom
offset from the most stable computed form = 39 meV per atom

---

# 7
First-principles (PBE-GGA) data for Ca3HoTh2As6 after structural relaxation, as listed in Alexandria.

Cell lengths 7.3741, 7.3741, 7.3248 Å; angles 99.66, 99.66, 120.01 degrees
With the nearest neighbours (Å) after each atom.
Fractional coordinates of all 12 atoms:
Ca (0.0000, 0.0000, 0.0000)  6 As 3.03-3.06
Ca (0.3328, 0.6672, 0.0000)  6 As 3.03-3.06
Ca (0.6672, 0.3328, 0.0000)  6 As 3.03-3.06
Ho (0.5000, 0.5000, 0.5000)  6 As 2.94-2.95
Th (0.1665, 0.8335, 0.5000)  6 As 2.98
Th (0.8335, 0.1665, 0.5000)  6 As 2.98
As (0.0903, 0.4201, 0.2599)  1 Ho 2.94, 2 Th 2.98, 3 Ca 3.03-3.06
As (0.2504, 0.2504, 0.7409)  1 Ho 2.95, 2 Th 2.98, 3 Ca 3.03-3.06
As (0.4201, 0.0903, 0.2599)  1 Ho 2.94, 2 Th 2.98, 3 Ca 3.03-3.06
As (0.5799, 0.9097, 0.7401)  1 Ho 2.94, 2 Th 2.98, 3 Ca 3.03-3.06
As (0.7496, 0.7496, 0.2591)  1 Ho 2.95, 2 Th 2.98, 3 Ca 3.03-3.06
As (0.9097, 0.5799, 0.7401)  1 Ho 2.94, 2 Th 2.98, 3 Ca 3.03-3.06

Results
DFT total energy = -5.74 eV per atom
formation energy = -1.30 eV per atom

---

# 8
First-principles (PBE-GGA) data for RbTe4Pd after structural relaxation, as listed in Alexandria.

Cell lengths 9.2543, 9.2543, 6.4418 Å; angles 92.78, 92.78, 44.12 degrees
With the nearest neighbours (Å) after each atom.
Fractional coordinates of all 12 atoms:
Rb (0.1869, 0.1869, 0.1645)  10 Te 3.61-3.95
Rb (0.8131, 0.8131, 0.8355)  10 Te 3.61-3.95
Te (0.1540, 0.6193, 0.3689)  1 Pd 2.77
Te (0.2539, 0.7461, 0.0000)  2 Pd 2.76
Te (0.2828, 0.2828, 0.6782)  1 Pd 2.83
Te (0.3807, 0.8460, 0.6311)  1 Pd 2.77
Te (0.6193, 0.1540, 0.3689)  1 Pd 2.77
Te (0.7172, 0.7172, 0.3218)  1 Pd 2.83
Te (0.7461, 0.2539, 0.0000)  2 Pd 2.76
Te (0.8460, 0.3807, 0.6311)  1 Pd 2.77
Pd (0.4479, 0.4479, 0.6856)  5 Te 2.76-2.83, 1 Pd 3.06
Pd (0.5521, 0.5521, 0.3144)  5 Te 2.76-2.83, 1 Pd 3.06

Results
DFT total energy = -3.41 eV per atom
raw formation energy = -285 meV/atom